This record from Alexandria via LeMat-Bulk describes crystalline PrEuYIn at its relaxed geometry. The functional is PBE-GGA.

Computed properties:
Fermi-level density of states ... 5.9 states/eV/f.u.
Calculated formation energy ... -0.16 eV per atom
Total energy ... -6.219 eV per atom
Symmetry ... No. 216

a = 5.6008 Å, b = 5.6008 Å, c = 5.6008 Å
α = 60.00°, β = 60.00°, γ = 60.00°
Last column: nearest neighbours and their distance in Å.
Atoms (fractional coordinates):
Pr (0.0000, 0.0000, 0.0000)  4 Eu 3.43, 4 In 3.43
Eu (0.7500, 0.7500, 0.7500)  4 Pr 3.43, 4 Y 3.43
Y (0.5000, 0.5000, 0.5000)  4 Eu 3.43, 4 In 3.43
In (0.2500, 0.2500, 0.2500)  4 Pr 3.43, 4 Y 3.43